[1]
First-principles (PBE) data for an optimized crystal structure of MgTlN2O, as listed in Alexandria via LeMat-Bulk.

Cell lengths 4.285, 4.285, 3.951 Å; angles 90.00, 90.00, 90.00 degrees
Space group P4/mmm (No. 123)
Asymmetric unit:
Mg (0.000, 0.000, 0.000) (multiplicity 1)
Tl (0.500, 0.500, 0.500) (multiplicity 1)
N (0.000, 0.500, 0.000) (multiplicity 2)
O (0.000, 0.000, 0.500) (multiplicity 1)

Properties
* VASP energy: -21.6 eV/cell
* V: 14.51 Å³/atom

---

[2]
First-principles (PBE) data for an optimized crystal structure of FeHg2Ru, as listed in Alexandria via LeMat-Bulk.

Cell lengths 6.478, 6.478, 6.478 Å; angles 90.00, 90.00, 90.00 degrees
Space group Fm-3m (No. 225)
Asymmetric unit:
Fe (0.000, 0.000, 0.000) (multiplicity 4)
Hg (0.250, 0.250, 0.250) (multiplicity 8)
Ru (0.000, 0.000, 0.500) (multiplicity 4)

Properties
* VASP energy: -64.0 eV/cell
* V: 16.99 Å³/atom
* energy relative to the lowest polymorph listed for this composition: 251 meV per atom